# ThH3Rh2 | the Alexandria database | PBE | optimized geometry
# Total energy (eV/atom): -5.79
# Space-group type: C2/c
data_ThH3Rh2
_cell_length_a 5.283
_cell_length_b 5.283
_cell_length_c 5.468
_cell_angle_alpha 95.88
_cell_angle_beta 95.88
_cell_angle_gamma 97.33
_symmetry_space_group_name_H-M 'P 1'
_symmetry_Int_Tables_number 1
_symmetry_space_group_name_Hall 'P 1'
loop_
_atom_site_label
_atom_site_fract_x
_atom_site_fract_y
_atom_site_fract_z
_atom_site_occupancy
Th1 0.203 0.797 0.750 1
Th2 0.797 0.203 0.250 1
H1 0.099 0.249 0.792 1
H2 0.249 0.099 0.292 1
H3 0.349 0.651 0.250 1
H4 0.651 0.349 0.750 1
H5 0.751 0.901 0.708 1
H6 0.901 0.751 0.208 1
Rh1 0.292 0.339 0.087 1
Rh2 0.339 0.292 0.587 1
Rh3 0.661 0.708 0.413 1
Rh4 0.708 0.661 0.913 1

# PmYLuAg | the Alexandria database | PBE | optimized geometry
# Space-group type: F-43m
# Calculated formation energy (eV per atom): 0.041
data_PmYLuAg
_cell_length_a 5.394
_cell_length_b 5.394
_cell_length_c 5.394
_cell_angle_alpha 60.00
_cell_angle_beta 60.00
_cell_angle_gamma 60.00
_symmetry_space_group_name_H-M 'P 1'
_symmetry_Int_Tables_number 1
_symmetry_space_group_name_Hall 'P 1'
loop_
_atom_site_label
_atom_site_fract_x
_atom_site_fract_y
_atom_site_fract_z
_atom_site_occupancy
Pm1 0.000 0.000 0.000 1
Y1 0.500 0.500 0.500 1
Lu1 0.250 0.250 0.250 1
Ag1 0.750 0.750 0.750 1

# Ac2Cd5Sn | the Alexandria database | PBE | optimized geometry
# Space-group type: Cmcm
# Calculated formation energy (eV per atom): -0.394
data_Ac2Cd5Sn
_cell_length_a 9.439
_cell_length_b 9.439
_cell_length_c 10.079
_cell_angle_alpha 90.00
_cell_angle_beta 90.00
_cell_angle_gamma 149.59
_symmetry_space_group_name_H-M 'P 1'
_symmetry_Int_Tables_number 1
_symmetry_space_group_name_Hall 'P 1'
loop_
_atom_site_label
_atom_site_fract_x
_atom_site_fract_y
_atom_site_fract_z
_atom_site_occupancy
Ac1 0.000 0.000 0.000 1
Ac2 0.000 0.000 0.500 1
Ac3 0.201 0.799 0.750 1
Ac4 0.799 0.201 0.250 1
Cd1 0.187 0.813 0.107 1
Cd2 0.187 0.813 0.393 1
Cd3 0.348 0.652 0.024 1
Cd4 0.348 0.652 0.476 1
Cd5 0.398 0.602 0.750 1
Cd6 0.602 0.398 0.250 1
Cd7 0.652 0.348 0.524 1
Cd8 0.652 0.348 0.976 1
Cd9 0.813 0.187 0.607 1
Cd10 0.813 0.187 0.893 1
Sn1 0.447 0.553 0.250 1
Sn2 0.553 0.447 0.750 1

# BiPb3C | the Alexandria database | PBE | optimized geometry
# Space-group type: Pm-3m
# ΔE to the lowest computed polymorph (meV per atom): 1142
# Calculated formation energy (eV per atom): 1.923
data_BiPb3C
_cell_length_a 6.098
_cell_length_b 6.098
_cell_length_c 6.098
_cell_angle_alpha 90.00
_cell_angle_beta 90.00
_cell_angle_gamma 90.00
_symmetry_space_group_name_H-M 'P 1'
_symmetry_Int_Tables_number 1
_symmetry_space_group_name_Hall 'P 1'
loop_
_atom_site_label
_atom_site_fract_x
_atom_site_fract_y
_atom_site_fract_z
_atom_site_occupancy
Bi1 0.000 0.000 0.000 1
Pb1 0.000 0.000 0.500 1
Pb2 0.000 0.500 0.000 1
Pb3 0.500 0.000 0.000 1
C1 0.500 0.500 0.500 1

# MgIn3Hg4 | the Alexandria database | PBE | optimized geometry
# Space-group type: Cmmm
# ΔE to the lowest computed polymorph (meV per atom): 37
# Calculated formation energy (eV per atom): 0.001
data_MgIn3Hg4
_cell_length_a 7.316
_cell_length_b 7.316
_cell_length_c 4.351
_cell_angle_alpha 90.00
_cell_angle_beta 90.00
_cell_angle_gamma 110.12
_symmetry_space_group_name_H-M 'P 1'
_symmetry_Int_Tables_number 1
_symmetry_space_group_name_Hall 'P 1'
loop_
_atom_site_label
_atom_site_fract_x
_atom_site_fract_y
_atom_site_fract_z
_atom_site_occupancy
Mg1 0.000 0.000 0.000 1
In1 0.000 0.500 0.500 1
In2 0.500 0.000 0.500 1
In3 0.500 0.500 0.000 1
Hg1 0.241 0.241 0.500 1
Hg2 0.245 0.755 0.000 1
Hg3 0.755 0.245 0.000 1
Hg4 0.759 0.759 0.500 1

# HfBiS3 | the Alexandria database | PBE | optimized geometry
# Space-group type: Pm-3m
# ΔE to the lowest computed polymorph (meV per atom): 356
# Raw formation energy (eV per formula unit): -3.073
data_HfBiS3
_cell_length_a 4.931
_cell_length_b 4.931
_cell_length_c 4.931
_cell_angle_alpha 90.00
_cell_angle_beta 90.00
_cell_angle_gamma 90.00
_symmetry_space_group_name_H-M 'P 1'
_symmetry_Int_Tables_number 1
_symmetry_space_group_name_Hall 'P 1'
loop_
_atom_site_label
_atom_site_fract_x
_atom_site_fract_y
_atom_site_fract_z
_atom_site_occupancy
Hf1 0.000 0.000 0.000 1
Bi1 0.500 0.500 0.500 1
S1 0.000 0.000 0.500 1
S2 0.000 0.500 0.000 1
S3 0.500 0.000 0.000 1

# AgAsOs2 | the Alexandria database | PBE | optimized geometry
# Space-group type: C2/m
# Calculated formation energy (eV per atom): 0.815
data_AgAsOs2
_cell_length_a 5.484
_cell_length_b 5.484
_cell_length_c 2.770
_cell_angle_alpha 104.37
_cell_angle_beta 104.37
_cell_angle_gamma 119.26
_symmetry_space_group_name_H-M 'P 1'
_symmetry_Int_Tables_number 1
_symmetry_space_group_name_Hall 'P 1'
loop_
_atom_site_label
_atom_site_fract_x
_atom_site_fract_y
_atom_site_fract_z
_atom_site_occupancy
Ag1 0.000 0.000 0.000 1
As1 0.500 0.500 0.000 1
Os1 0.000 0.500 0.500 1
Os2 0.500 0.000 0.500 1

# Pr2DyZnSe5 | the Alexandria database | PBE | optimized geometry
# Space-group type: Cmc2_1
# Raw formation energy (eV per formula unit): -14.379
data_Pr2DyZnSe5
_cell_length_a 9.184
_cell_length_b 9.184
_cell_length_c 12.525
_cell_angle_alpha 90.00
_cell_angle_beta 90.00
_cell_angle_gamma 154.54
_symmetry_space_group_name_H-M 'P 1'
_symmetry_Int_Tables_number 1
_symmetry_space_group_name_Hall 'P 1'
loop_
_atom_site_label
_atom_site_fract_x
_atom_site_fract_y
_atom_site_fract_z
_atom_site_occupancy
Pr1 0.115 0.885 0.500 1
Pr2 0.130 0.870 0.133 1
Pr3 0.870 0.130 0.633 1
Pr4 0.885 0.115 0.000 1
Dy1 0.198 0.802 0.831 1
Dy2 0.802 0.198 0.331 1
Zn1 0.448 0.552 0.264 1
Zn2 0.552 0.448 0.764 1
Se1 0.042 0.958 0.873 1
Se2 0.289 0.711 0.491 1
Se3 0.315 0.685 0.170 1
Se4 0.356 0.644 0.819 1
Se5 0.495 0.505 0.589 1
Se6 0.505 0.495 0.089 1
Se7 0.644 0.356 0.319 1
Se8 0.685 0.315 0.670 1
Se9 0.711 0.289 0.991 1
Se10 0.958 0.042 0.373 1

# Na2SrI2 | the Alexandria database | PBE | optimized geometry
# Space-group type: P4/mbm
# ΔE to the lowest computed polymorph (meV per atom): 0
# Raw formation energy (eV per formula unit): -4.075
data_Na2SrI2
_cell_length_a 8.930
_cell_length_b 8.930
_cell_length_c 5.062
_cell_angle_alpha 90.00
_cell_angle_beta 90.00
_cell_angle_gamma 90.00
_symmetry_space_group_name_H-M 'P 1'
_symmetry_Int_Tables_number 1
_symmetry_space_group_name_Hall 'P 1'
loop_
_atom_site_label
_atom_site_fract_x
_atom_site_fract_y
_atom_site_fract_z
_atom_site_occupancy
Na1 0.178 0.322 0.000 1
Na2 0.322 0.822 0.000 1
Na3 0.678 0.178 0.000 1
Na4 0.822 0.678 0.000 1
Sr1 0.000 0.000 0.500 1
Sr2 0.500 0.500 0.500 1
I1 0.158 0.658 0.500 1
I2 0.342 0.158 0.500 1
I3 0.658 0.842 0.500 1
I4 0.842 0.342 0.500 1

# MnTe2Au | the Alexandria database | PBE | optimized geometry
# Space-group type: C2/c
# ΔE to the lowest computed polymorph (meV per atom): 134
# Raw formation energy (eV per formula unit): 0.175
data_MnTe2Au
_cell_length_a 7.226
_cell_length_b 7.226
_cell_length_c 14.578
_cell_angle_alpha 92.63
_cell_angle_beta 92.63
_cell_angle_gamma 81.08
_symmetry_space_group_name_H-M 'P 1'
_symmetry_Int_Tables_number 1
_symmetry_space_group_name_Hall 'P 1'
loop_
_atom_site_label
_atom_site_fract_x
_atom_site_fract_y
_atom_site_fract_z
_atom_site_occupancy
Mn1 0.126 0.758 0.829 1
Mn2 0.209 0.291 0.732 1
Mn3 0.242 0.874 0.671 1
Mn4 0.291 0.209 0.232 1
Mn5 0.709 0.791 0.768 1
Mn6 0.758 0.126 0.329 1
Mn7 0.791 0.709 0.268 1
Mn8 0.874 0.242 0.171 1
Te1 0.018 0.620 0.671 1
Te2 0.059 0.941 0.250 1
Te3 0.158 0.159 0.565 1
Te4 0.159 0.158 0.065 1
Te5 0.279 0.690 0.009 1
Te6 0.310 0.721 0.491 1
Te7 0.380 0.982 0.829 1
Te8 0.446 0.554 0.750 1
Te9 0.554 0.446 0.250 1
Te10 0.620 0.018 0.171 1
Te11 0.690 0.279 0.509 1
Te12 0.721 0.310 0.991 1
Te13 0.841 0.842 0.935 1
Te14 0.842 0.841 0.435 1
Te15 0.941 0.059 0.750 1
Te16 0.982 0.380 0.329 1
Au1 0.043 0.549 0.130 1
Au2 0.338 0.344 0.420 1
Au3 0.344 0.338 0.920 1
Au4 0.451 0.957 0.370 1
Au5 0.549 0.043 0.630 1
Au6 0.656 0.662 0.080 1
Au7 0.662 0.656 0.580 1
Au8 0.957 0.451 0.870 1

# Nd3Pu2PaAs6 | the Alexandria database | PBE | optimized geometry
# Space-group type: C2/m
# Calculated formation energy (eV per atom): -1.288
data_Nd3Pu2PaAs6
_cell_length_a 7.268
_cell_length_b 7.268
_cell_length_c 7.278
_cell_angle_alpha 99.58
_cell_angle_beta 99.58
_cell_angle_gamma 119.99
_symmetry_space_group_name_H-M 'P 1'
_symmetry_Int_Tables_number 1
_symmetry_space_group_name_Hall 'P 1'
loop_
_atom_site_label
_atom_site_fract_x
_atom_site_fract_y
_atom_site_fract_z
_atom_site_occupancy
Nd1 0.000 0.000 0.000 1
Nd2 0.332 0.668 0.000 1
Nd3 0.668 0.332 0.000 1
Pu1 0.166 0.834 0.500 1
Pu2 0.834 0.166 0.500 1
Pa1 0.500 0.500 0.500 1
As1 0.092 0.421 0.262 1
As2 0.251 0.251 0.738 1
As3 0.421 0.092 0.262 1
As4 0.579 0.908 0.738 1
As5 0.749 0.749 0.262 1
As6 0.908 0.579 0.738 1

# LiTbAs | the Alexandria database | PBE | optimized geometry
# Space-group type: I4mm
# ΔE to the lowest computed polymorph (meV per atom): 351
# Calculated formation energy (eV per atom): -0.617
data_LiTbAs
_cell_length_a 4.950
_cell_length_b 4.950
_cell_length_c 4.950
_cell_angle_alpha 133.00
_cell_angle_beta 133.00
_cell_angle_gamma 68.66
_symmetry_space_group_name_H-M 'P 1'
_symmetry_Int_Tables_number 1
_symmetry_space_group_name_Hall 'P 1'
loop_
_atom_site_label
_atom_site_fract_x
_atom_site_fract_y
_atom_site_fract_z
_atom_site_occupancy
Li1 0.000 0.000 0.000 1
Tb1 0.341 0.341 0.000 1
As1 0.695 0.695 0.000 1